A relaxed structure of ZrTiV, computed with PBE.

Calculated values
The calculation puts the formation energy from the elements at 258 meV/atom. Its space-group type is No. 160. The density of states at the Fermi level comes out at 3.86 states/eV/cell. The calculation puts the total magnetization at 1.36 μB per formula unit. The calculation puts the density at 5.7 g/cm³. The total DFT energy (no corrections) is -24.8 eV/cell.

abc: 6.9547 6.9547 6.9547
angles: 25.63 25.63 25.63
With the nearest neighbours (Å) after each atom.
Fractional positions:
Zr  0.0000  0.0000  0.0000  3 V 2.88, 3 Ti 3.08, 6 Zr 3.09
Ti  0.2086  0.2086  0.2086  3 V 2.64
V  0.7786  0.7786  0.7786  3 Ti 2.64, 3 Zr 2.88

A relaxed structure of Al3Ge, computed with PBE.

Calculated values
The calculation puts the formation energy from the elements at 96 meV/atom. Its space-group type is No. 139. The density of states at the Fermi level comes out at 1.58 states/eV/cell. The calculation puts the total magnetization at 0.00 μB per formula unit. The calculation puts the density at 3.7 g/cm³. The total DFT energy (no corrections) is -15.5 eV/cell.

abc: 5.0766 5.0766 5.0766
angles: 133.02 133.02 68.63
With the nearest neighbours (Å) after each atom.
Fractional positions:
Al  0.0000  0.0000  0.0000  4 Ge 2.86, 8 Al 2.91
Al  0.2500  0.7500  0.5000  8 Al 2.86-2.91, 4 Ge 2.91
Al  0.7500  0.2500  0.5000  8 Al 2.86-2.91, 4 Ge 2.91
Ge  0.5000  0.5000  0.0000  12 Al 2.86-2.91

A relaxed structure of Ba2CrC, computed with PBE.

Calculated values
The calculation puts the formation energy from the elements at 446 meV/atom. Its space-group type is No. 122. The density of states at the Fermi level comes out at 6.40 states/eV/cell. The calculation puts the total magnetization at 3.01 μB per formula unit. The calculation puts the density at 4.2 g/cm³. The total DFT energy (no corrections) is -41.8 eV/cell.

abc: 8.4117 8.4117 8.4117
angles: 93.18 93.18 152.74
With the nearest neighbours (Å) after each atom.
Fractional positions:
Ba  0.3750  0.1838  0.3088  2 C 3.01, 2 Cr 3.32
Ba  0.8162  0.1250  0.1912  2 C 3.01, 2 Cr 3.32
Ba  0.8750  0.0662  0.6912  2 C 3.01, 2 Cr 3.32
Ba  0.9338  0.6250  0.8088  2 C 3.01, 2 Cr 3.32
Cr  0.2500  0.7500  0.5000  2 C 1.98
Cr  0.5000  0.5000  0.0000  2 C 1.98
C  0.0000  0.0000  0.0000  2 Cr 1.98
C  0.7500  0.2500  0.5000  2 Cr 1.98

A relaxed structure of ZrSnP2O8, computed with PBE.

Calculated values
Its space-group type is No. 12. The density of states at the Fermi level comes out at 0.00 states/eV/cell. The calculation puts the total magnetization at 0.00 μB per formula unit. The calculation puts the density at 3.8 g/cm³. The value obtained for the uncorrected formation energy is -2378.3 meV per atom. The total DFT energy (no corrections) is -91.6 eV/cell.

abc: 5.0477 5.0477 7.5858
angles: 90.39 90.39 64.98
With the nearest neighbours (Å) after each atom.
Fractional positions:
Zr  0.0000  0.0000  0.0000  6 O 2.05-2.14
Sn  0.0000  0.0000  0.5000  6 O 2.46-2.70
P  0.3516  0.3516  0.7696  4 O 1.52-1.57
P  0.6484  0.6484  0.2304  4 O 1.52-1.57
O  0.2229  0.6924  0.7966  1 P 1.57
O  0.2299  0.2299  0.9200  1 P 1.55
O  0.2797  0.2797  0.5860  1 P 1.52
O  0.3076  0.7771  0.2034  1 P 1.57
O  0.6924  0.2229  0.7966  1 P 1.57
O  0.7203  0.7203  0.4140  1 P 1.52
O  0.7701  0.7701  0.0800  1 P 1.55
O  0.7771  0.3076  0.2034  1 P 1.57

A relaxed structure of Nd6Sn3O2, computed with PBE.

Calculated values
Its space-group type is No. 139. The density of states at the Fermi level comes out at 5.59 states/eV/cell. The calculation puts the total magnetization at 0.00 μB per formula unit. The calculation puts the density at 6.9 g/cm³. The value obtained for the uncorrected formation energy is -1472.2 meV per atom. The total DFT energy (no corrections) is -66.7 eV/cell.

abc: 13.4408 13.4408 13.4408
angles: 159.31 159.31 29.42
With the nearest neighbours (Å) after each atom.
Fractional positions:
Nd  0.0825  0.5825  0.5000  2 O 2.46
Nd  0.1946  0.1946  0.0000  1 O 2.44
Nd  0.4175  0.9175  0.5000  2 O 2.46
Nd  0.5825  0.0825  0.5000  2 O 2.46
Nd  0.8054  0.8054  0.0000  1 O 2.44
Nd  0.9175  0.4175  0.5000  2 O 2.46
Sn  0.3224  0.3224  0.0000  9 Nd 3.32-3.46
Sn  0.5000  0.5000  0.0000  8 Nd 3.23
Sn  0.6776  0.6776  0.0000  9 Nd 3.32-3.46
O  0.1008  0.1008  0.0000  5 Nd 2.44-2.46
O  0.8992  0.8992  0.0000  5 Nd 2.44-2.46

A relaxed structure of DyVC, computed with PBE.

Calculated values
The calculation puts the formation energy from the elements at 104 meV/atom. Its space-group type is No. 187. The density of states at the Fermi level comes out at 1.36 states/eV/cell. The calculation puts the total magnetization at 1.99 μB per formula unit. The calculation puts the density at 7.9 g/cm³. The total DFT energy (no corrections) is -22.6 eV/cell.

abc: 3.5741 3.5741 4.2827
angles: 90.00 90.00 120.00
With the nearest neighbours (Å) after each atom.
Fractional positions:
Dy  0.0000  0.0000  0.0000  6 C 2.97, 6 V 2.97
V  0.3333  0.6667  0.5000  3 C 2.06
C  0.6667  0.3333  0.5000  3 V 2.06

Q: What is the formula in the first record?
A: ZrTiV